# 1
Compound: Y2HfPd
Source: Alexandria via LeMat-Bulk
Functional: GGA-PBE
Structure: optimized geometry

The total moment comes out at 1.5 μB per formula unit. The calculation puts the energy of formation at -0.002 eV/atom. The value obtained for the density of states at the Fermi level is 28.543 states/eV/cell.

The space group is Fm-3m (No. 225) and the conventional cell measures 7.2798, 7.2798 and 7.2798 Å, with angles of 90.00, 90.00 and 90.00 degrees. The asymmetric unit holds Y at (0.2500, 0.2500, 0.2500), Hf at (0.0000, 0.0000, 0.0000) and Pd at (0.0000, 0.0000, 0.5000).

# 2
Compound: KAsHCl2
Source: Alexandria via LeMat-Bulk
Functional: GGA-PBE
Structure: optimized geometry

The total moment comes out at 3.0 μB per formula unit. As for the total energy: -0.0817 Ha/atom. The value obtained for the density of states at the Fermi level is 3.577 states/eV/cell.

The space group is P4/mmm (No. 123) and the conventional cell measures 5.7743, 5.7743 and 4.5883 Å, with angles of 90.00, 90.00 and 90.00 degrees. The asymmetric unit holds K at (0.0000, 0.0000, 0.0000), As at (0.5000, 0.5000, 0.5000), H at (0.0000, 0.0000, 0.5000) and Cl at (0.0000, 0.5000, 0.0000).

# 3
Compound: NaHg
Source: Alexandria via LeMat-Bulk
Functional: GGA-PBE
Structure: optimized geometry

The total moment comes out at 0.0 μB per formula unit. The calculation puts the energy of formation at -0.138 eV/atom. The value obtained for the density of states at the Fermi level is 5.470 states/eV/cell.

The space group is P4_2/mnm (No. 136) and the conventional cell measures 6.1595, 6.1595 and 6.2498 Å, with angles of 90.00, 90.00 and 90.00 degrees. The asymmetric unit holds Na at (0.1887, 0.1887, 0.0000) and Hg at (0.1794, 0.1794, 0.5000).

# 4
Compound: NaNiAs
Source: Alexandria via LeMat-Bulk
Functional: GGA-PBE
Structure: optimized geometry

The total moment comes out at 0.0 μB per formula unit. The calculation puts the energy of formation at -0.321 eV/atom. The value obtained for the density of states at the Fermi level is 2.664 states/eV/cell.

The space group is Cmcm (No. 63) and the conventional cell measures 3.1021, 12.2286 and 5.6108 Å, with angles of 90.00, 90.00 and 90.00 degrees. The asymmetric unit holds Na at (0.0000, 0.1823, 0.2500), Ni at (0.0000, 0.5000, 0.0000) and As at (0.0000, 0.0976, 0.7500).

# 5
Compound: SnAuBr
Source: Alexandria via LeMat-Bulk
Functional: GGA-PBE
Structure: optimized geometry

The total moment comes out at 0.0 μB per formula unit. As for the total energy: -0.1178 Ha/atom. The value obtained for the density of states at the Fermi level is 0.719 states/eV/cell.

The space group is Pm (No. 6) and the conventional cell measures 3.6569, 3.9791 and 5.7609 Å, with angles of 90.00, 90.10 and 90.00 degrees. The asymmetric unit holds Sn at (0.0000, 0.0000, 0.0000), Au at (0.5008, 0.5000, 0.1716) and Br at (0.4983, 0.0000, 0.5949).

# 6
Compound: GdThAgPd
Source: Alexandria via LeMat-Bulk
Functional: GGA-PBE
Structure: optimized geometry

The total moment comes out at 7.5 μB per formula unit. The calculation puts the energy of formation at -0.419 eV/atom. The value obtained for the density of states at the Fermi level is 16.522 states/eV/cell.

The space group is F-43m (No. 216) and the conventional cell measures 7.3027, 7.3027 and 7.3027 Å, with angles of 90.00, 90.00 and 90.00 degrees. The asymmetric unit holds Gd at (0.0000, 0.0000, 0.0000), Th at (0.0000, 0.0000, 0.5000), Ag at (0.2500, 0.2500, 0.2500) and Pd at (0.2500, 0.2500, 0.7500).

# 7
Compound: KPuAgO4
Source: Alexandria via LeMat-Bulk
Functional: GGA-PBE
Structure: optimized geometry

The total moment comes out at 2.1 μB per formula unit. As for the total energy: -0.2676 Ha/atom. The value obtained for the density of states at the Fermi level is 10.225 states/eV/cell.

The space group is Cmcm (No. 63) and the conventional cell measures 6.3364, 6.5048 and 13.2185 Å, with angles of 90.00, 90.00 and 90.00 degrees. The asymmetric unit holds K at (0.0000, 0.0000, 0.0000), Pu at (0.0000, 0.3395, 0.2500), Ag at (0.0000, 0.1677, 0.7500), O at (0.0000, 0.3401, 0.1098) and O at (0.2470, 0.0862, 0.2500).

# 8
Compound: BaLi4
Source: Alexandria via LeMat-Bulk
Functional: GGA-PBE
Structure: optimized geometry

The total moment comes out at 0.0 μB per formula unit. The calculation puts the energy of formation at 0.011 eV/atom. The value obtained for the density of states at the Fermi level is 20.416 states/eV/cell.

The space group is P6_3/mmc (No. 194) and the conventional cell measures 10.8222, 10.8222 and 8.7763 Å, with angles of 90.00, 90.00 and 120.00 degrees. The asymmetric unit holds Ba at (0.0560, 0.5280, 0.2500), Li at (0.0000, 0.0000, 0.0000), Li at (0.0994, 0.1987, 0.2500), Li at (0.1634, 0.3269, 0.5663) and Li at (0.3333, 0.6667, 0.5849).

- The highest total moment belongs to which entry?
  GdThAgPd

Copy entry 1 word for word.
Compound: Y2HfPd
Source: Alexandria via LeMat-Bulk
Functional: GGA-PBE
Structure: optimized geometry

The total moment comes out at 1.5 μB per formula unit. The calculation puts the energy of formation at -0.002 eV/atom. The value obtained for the density of states at the Fermi level is 28.543 states/eV/cell.

The space group is Fm-3m (No. 225) and the conventional cell measures 7.2798, 7.2798 and 7.2798 Å, with angles of 90.00, 90.00 and 90.00 degrees. The asymmetric unit holds Y at (0.2500, 0.2500, 0.2500), Hf at (0.0000, 0.0000, 0.0000) and Pd at (0.0000, 0.0000, 0.5000).